Model one:
UPI: relaxed, PBE.

Geometry as CIF:
```
data_UPI
_chemical_formula_sum 'U8 P8 I8'
_cell_length_a 21.6572
_cell_length_b 4.6482
_cell_length_c 8.7327
_cell_angle_alpha 90.00
_cell_angle_beta 96.00
_cell_angle_gamma 90.00
_space_group_name_H-M_alt 'C 1 2/m 1'
_space_group_IT_number 12
_space_group_name_Hall '-C 2y'
loop_
_atom_site_label
_atom_site_type_symbol
_atom_site_fract_x
_atom_site_fract_y
_atom_site_fract_z
_atom_site_occupancy
U1 U 0.1801 0.0000 0.0988 1
U2 U 0.1865 0.0000 0.6115 1
P1 P 0.2420 0.5000 0.1217 1
P2 P 0.2466 0.5000 0.6270 1
I1 I 0.0780 0.0000 0.3370 1
I2 I 0.1026 0.5000 0.8468 1
```


Model two:
UPI: relaxed, PBE.

Geometry as CIF:
```
data_UPI
_chemical_formula_sum 'U2 P2 I2'
_cell_length_a 3.7502
_cell_length_b 4.0169
_cell_length_c 12.4538
_cell_angle_alpha 82.36
_cell_angle_beta 88.62
_cell_angle_gamma 90.00
_space_group_name_H-M_alt 'P -1'
_space_group_IT_number 2
_space_group_name_Hall '-P 1'
loop_
_atom_site_label
_atom_site_type_symbol
_atom_site_fract_x
_atom_site_fract_y
_atom_site_fract_z
_atom_site_occupancy
U1 U 0.2393 0.1962 0.1302 1
P1 P 0.2576 0.2881 0.9079 1
I1 I 0.2772 0.8866 0.6679 1
```


Most stable structure - model two; separation to the second - 245 meV/atom.


Model one:
V3PI: relaxed, PBE.

Geometry as CIF:
```
data_V3PI
_chemical_formula_sum 'V3 P1 I1'
_cell_length_a 4.9587
_cell_length_b 4.9587
_cell_length_c 4.9587
_cell_angle_alpha 90.00
_cell_angle_beta 90.00
_cell_angle_gamma 90.00
_space_group_name_H-M_alt 'P m -3 m'
_space_group_IT_number 221
_space_group_name_Hall '-P 4 2 3'
loop_
_atom_site_label
_atom_site_type_symbol
_atom_site_fract_x
_atom_site_fract_y
_atom_site_fract_z
_atom_site_occupancy
V1 V 0.0000 0.0000 0.5000 1
P1 P 0.5000 0.5000 0.5000 1
I1 I 0.0000 0.0000 0.0000 1
```


Model two:
V3PI: relaxed, PBE.

Geometry as CIF:
```
data_V3PI
_chemical_formula_sum 'V3 P1 I1'
_cell_length_a 4.5292
_cell_length_b 4.5292
_cell_length_c 4.5292
_cell_angle_alpha 90.00
_cell_angle_beta 90.00
_cell_angle_gamma 90.00
_space_group_name_H-M_alt 'P m -3 m'
_space_group_IT_number 221
_space_group_name_Hall '-P 4 2 3'
loop_
_atom_site_label
_atom_site_type_symbol
_atom_site_fract_x
_atom_site_fract_y
_atom_site_fract_z
_atom_site_occupancy
V1 V 0.0000 0.0000 0.5000 1
P1 P 0.0000 0.0000 0.0000 1
I1 I 0.5000 0.5000 0.5000 1
```


Most stable structure - model two; separation to the second - 1201 meV/atom.


Model one:
VPI3: relaxed, PBE.

Geometry as CIF:
```
data_VPI3
_chemical_formula_sum 'V1 P1 I3'
_cell_length_a 5.5562
_cell_length_b 5.5562
_cell_length_c 5.5562
_cell_angle_alpha 90.00
_cell_angle_beta 90.00
_cell_angle_gamma 90.00
_space_group_name_H-M_alt 'P m -3 m'
_space_group_IT_number 221
_space_group_name_Hall '-P 4 2 3'
loop_
_atom_site_label
_atom_site_type_symbol
_atom_site_fract_x
_atom_site_fract_y
_atom_site_fract_z
_atom_site_occupancy
V1 V 0.0000 0.0000 0.0000 1
P1 P 0.5000 0.5000 0.5000 1
I1 I 0.0000 0.0000 0.5000 1
```


Model two:
VPI3: relaxed, PBE.

Geometry as CIF:
```
data_VPI3
_chemical_formula_sum 'V1 P1 I3'
_cell_length_a 5.5007
_cell_length_b 5.5007
_cell_length_c 5.5007
_cell_angle_alpha 90.00
_cell_angle_beta 90.00
_cell_angle_gamma 90.00
_space_group_name_H-M_alt 'P m -3 m'
_space_group_IT_number 221
_space_group_name_Hall '-P 4 2 3'
loop_
_atom_site_label
_atom_site_type_symbol
_atom_site_fract_x
_atom_site_fract_y
_atom_site_fract_z
_atom_site_occupancy
V1 V 0.0000 0.0000 0.0000 1
P1 P 0.5000 0.5000 0.5000 1
I1 I 0.0000 0.5000 0.5000 1
```


Most stable structure - model one; separation to the second - 191 meV/atom.


Model one:
VP2I: relaxed, PBE.

Geometry as CIF:
```
data_VP2I
_chemical_formula_sum 'V4 P8 I4'
_cell_length_a 6.1763
_cell_length_b 6.1763
_cell_length_c 11.1583
_cell_angle_alpha 90.00
_cell_angle_beta 90.00
_cell_angle_gamma 90.00
_space_group_name_H-M_alt 'I -4 2 d'
_space_group_IT_number 122
_space_group_name_Hall 'I -4 2bw'
loop_
_atom_site_label
_atom_site_type_symbol
_atom_site_fract_x
_atom_site_fract_y
_atom_site_fract_z
_atom_site_occupancy
V1 V 0.0000 0.0000 0.0000 1
P1 P 0.1405 0.2500 0.1250 1
I1 I 0.0000 0.0000 0.5000 1
```


Model two:
VP2I: relaxed, PBE.

Geometry as CIF:
```
data_VP2I
_chemical_formula_sum 'V4 P8 I4'
_cell_length_a 6.4830
_cell_length_b 6.4830
_cell_length_c 6.4830
_cell_angle_alpha 90.00
_cell_angle_beta 90.00
_cell_angle_gamma 90.00
_space_group_name_H-M_alt 'F m -3 m'
_space_group_IT_number 225
_space_group_name_Hall '-F 4 2 3'
loop_
_atom_site_label
_atom_site_type_symbol
_atom_site_fract_x
_atom_site_fract_y
_atom_site_fract_z
_atom_site_occupancy
V1 V 0.0000 0.0000 0.0000 1
P1 P 0.2500 0.2500 0.2500 1
I1 I 0.0000 0.0000 0.5000 1
```


Most stable structure - model one; separation to the second - 515 meV/atom.


Model one:
PW3I: relaxed, PBE.

Geometry as CIF:
```
data_PW3I
_chemical_formula_sum 'P1 W3 I1'
_cell_length_a 4.8743
_cell_length_b 4.8743
_cell_length_c 4.8743
_cell_angle_alpha 90.00
_cell_angle_beta 90.00
_cell_angle_gamma 90.00
_space_group_name_H-M_alt 'P m -3 m'
_space_group_IT_number 221
_space_group_name_Hall '-P 4 2 3'
loop_
_atom_site_label
_atom_site_type_symbol
_atom_site_fract_x
_atom_site_fract_y
_atom_site_fract_z
_atom_site_occupancy
P1 P 0.0000 0.0000 0.0000 1
W1 W 0.0000 0.5000 0.5000 1
I1 I 0.5000 0.5000 0.5000 1
```


Model two:
PW3I: relaxed, PBE.

Geometry as CIF:
```
data_PW3I
_chemical_formula_sum 'P1 W3 I1'
_cell_length_a 4.5715
_cell_length_b 4.5715
_cell_length_c 4.5715
_cell_angle_alpha 90.00
_cell_angle_beta 90.00
_cell_angle_gamma 90.00
_space_group_name_H-M_alt 'P m -3 m'
_space_group_IT_number 221
_space_group_name_Hall '-P 4 2 3'
loop_
_atom_site_label
_atom_site_type_symbol
_atom_site_fract_x
_atom_site_fract_y
_atom_site_fract_z
_atom_site_occupancy
P1 P 0.0000 0.0000 0.0000 1
W1 W 0.0000 0.0000 0.5000 1
I1 I 0.5000 0.5000 0.5000 1
```


Most stable structure - model two; separation to the second - 1695 meV/atom.


Model one:
P3WI: relaxed, PBE.

Geometry as CIF:
```
data_P3WI
_chemical_formula_sum 'P3 W1 I1'
_cell_length_a 4.7703
_cell_length_b 4.7703
_cell_length_c 4.7703
_cell_angle_alpha 90.00
_cell_angle_beta 90.00
_cell_angle_gamma 90.00
_space_group_name_H-M_alt 'P m -3 m'
_space_group_IT_number 221
_space_group_name_Hall '-P 4 2 3'
loop_
_atom_site_label
_atom_site_type_symbol
_atom_site_fract_x
_atom_site_fract_y
_atom_site_fract_z
_atom_site_occupancy
P1 P 0.0000 0.0000 0.5000 1
W1 W 0.0000 0.0000 0.0000 1
I1 I 0.5000 0.5000 0.5000 1
```


Model two:
P3WI: relaxed, PBE.

Geometry as CIF:
```
data_P3WI
_chemical_formula_sum 'P3 W1 I1'
_cell_length_a 4.9496
_cell_length_b 4.9496
_cell_length_c 4.9496
_cell_angle_alpha 90.00
_cell_angle_beta 90.00
_cell_angle_gamma 90.00
_space_group_name_H-M_alt 'P m -3 m'
_space_group_IT_number 221
_space_group_name_Hall '-P 4 2 3'
loop_
_atom_site_label
_atom_site_type_symbol
_atom_site_fract_x
_atom_site_fract_y
_atom_site_fract_z
_atom_site_occupancy
P1 P 0.0000 0.0000 0.5000 1
W1 W 0.5000 0.5000 0.5000 1
I1 I 0.0000 0.0000 0.0000 1
```


Most stable structure - model one; separation to the second - 1835 meV/atom.


Model one:
YPI3: relaxed, PBE.

Geometry as CIF:
```
data_YPI3
_chemical_formula_sum 'Y1 P1 I3'
_cell_length_a 5.5128
_cell_length_b 5.5128
_cell_length_c 5.5128
_cell_angle_alpha 90.00
_cell_angle_beta 90.00
_cell_angle_gamma 90.00
_space_group_name_H-M_alt 'P m -3 m'
_space_group_IT_number 221
_space_group_name_Hall '-P 4 2 3'
loop_
_atom_site_label
_atom_site_type_symbol
_atom_site_fract_x
_atom_site_fract_y
_atom_site_fract_z
_atom_site_occupancy
Y1 Y 0.0000 0.0000 0.0000 1
P1 P 0.5000 0.5000 0.5000 1
I1 I 0.0000 0.5000 0.5000 1
```


Model two:
YPI3: relaxed, PBE.

Geometry as CIF:
```
data_YPI3
_chemical_formula_sum 'Y1 P1 I3'
_cell_length_a 6.0477
_cell_length_b 6.0477
_cell_length_c 6.0477
_cell_angle_alpha 90.00
_cell_angle_beta 90.00
_cell_angle_gamma 90.00
_space_group_name_H-M_alt 'P m -3 m'
_space_group_IT_number 221
_space_group_name_Hall '-P 4 2 3'
loop_
_atom_site_label
_atom_site_type_symbol
_atom_site_fract_x
_atom_site_fract_y
_atom_site_fract_z
_atom_site_occupancy
Y1 Y 0.0000 0.0000 0.0000 1
P1 P 0.5000 0.5000 0.5000 1
I1 I 0.0000 0.0000 0.5000 1
```


Most stable structure - model two; separation to the second - 477 meV/atom.


Model one:
ZnPI3: relaxed, PBE.

Geometry as CIF:
```
data_ZnPI3
_chemical_formula_sum 'Zn1 P1 I3'
_cell_length_a 5.6017
_cell_length_b 5.6017
_cell_length_c 5.6017
_cell_angle_alpha 90.00
_cell_angle_beta 90.00
_cell_angle_gamma 90.00
_space_group_name_H-M_alt 'P m -3 m'
_space_group_IT_number 221
_space_group_name_Hall '-P 4 2 3'
loop_
_atom_site_label
_atom_site_type_symbol
_atom_site_fract_x
_atom_site_fract_y
_atom_site_fract_z
_atom_site_occupancy
Zn1 Zn 0.0000 0.0000 0.0000 1
P1 P 0.5000 0.5000 0.5000 1
I1 I 0.0000 0.0000 0.5000 1
```


Model two:
ZnPI3: relaxed, PBE.

Geometry as CIF:
```
data_ZnPI3
_chemical_formula_sum 'Zn1 P1 I3'
_cell_length_a 5.5537
_cell_length_b 5.5537
_cell_length_c 5.5537
_cell_angle_alpha 90.00
_cell_angle_beta 90.00
_cell_angle_gamma 90.00
_space_group_name_H-M_alt 'P m -3 m'
_space_group_IT_number 221
_space_group_name_Hall '-P 4 2 3'
loop_
_atom_site_label
_atom_site_type_symbol
_atom_site_fract_x
_atom_site_fract_y
_atom_site_fract_z
_atom_site_occupancy
Zn1 Zn 0.0000 0.0000 0.0000 1
P1 P 0.5000 0.5000 0.5000 1
I1 I 0.0000 0.5000 0.5000 1
```


Most stable structure - model two; separation to the second - 265 meV/atom.